Density functional theory data (PBE) for a relaxed structure of ZnHg2Cl.

a = 3.9801 Å, b = 3.9801 Å, c = 21.9049 Å
α = 90.00°, β = 90.00°, γ = 120.00°
Last column: nearest neighbours and their distance in Å.
Fractional positions:
1 Zn 0.0000 0.0000 0.0000  6 Hg 2.82
2 Zn 0.3333 0.6667 0.6667  6 Hg 2.82
3 Zn 0.6667 0.3333 0.3333  6 Hg 2.82
4 Hg 0.0000 0.0000 0.2584  3 Zn 2.82, 3 Cl 3.05
5 Hg 0.0000 0.0000 0.7416  3 Zn 2.82, 3 Cl 3.05
6 Hg 0.3333 0.6667 0.4083  3 Zn 2.82, 3 Cl 3.05
7 Hg 0.3333 0.6667 0.9251  3 Zn 2.82, 3 Cl 3.05
8 Hg 0.6667 0.3333 0.0749  3 Zn 2.82, 3 Cl 3.05
9 Hg 0.6667 0.3333 0.5917  3 Zn 2.82, 3 Cl 3.05
10 Cl 0.0000 0.0000 0.5000  6 Hg 3.05
11 Cl 0.3333 0.6667 0.1667  6 Hg 3.05
12 Cl 0.6667 0.3333 0.8333  6 Hg 3.05

Properties
M_tot ... 0.00 μB per formula unit
Formation energy (no corrections) ... -0.194 eV/atom
D(E_F) ... 0.97 states/eV/cell
Excess energy over the best structure of this formula in the dataset ... 62 meV/atom